The following is a PBE-GGA calculation of Sc3RuSe after structural relaxation, from Alexandria via LeMat-Bulk.

Computed properties:
Crystal system: cubic
Uncorrected formation energy in meV/atom: -267
Size of the total moment in μB per cell: 0.000
E_tot in eV/atom: -6.618
Energy above the most stable polymorph in this dataset in eV per atom: 0.000

Cell: 4.977 4.977 4.977 Å, 90.00 90.00 90.00°
Space group Pm-3m (No. 221)
Asymmetric unit:
Sc 0.000 0.000 0.500 (multiplicity 3)
Ru 0.000 0.000 0.000 (multiplicity 1)
Se 0.500 0.500 0.500 (multiplicity 1)